Material: SmY2AgC
Method: DFT, PBE-GGA
State: relaxed

Cell and atoms, written as CIF:
```
data_SmY2AgC
_chemical_formula_sum 'Sm1 Y2 Ag1 C1'
_space_group_name_H-M_alt 'P 4 m m'
_space_group_IT_number 99
_space_group_name_Hall 'P 4 -2'
_cell_length_a 4.849
_cell_length_b 4.849
_cell_length_c 5.171
_cell_angle_alpha 90.00
_cell_angle_beta 90.00
_cell_angle_gamma 90.00
loop_
_atom_site_label
_atom_site_type_symbol
_atom_site_fract_x
_atom_site_fract_y
_atom_site_fract_z
Sm1 Sm 0.000 0.000 0.000
Y1 Y 0.000 0.500 0.503
Ag1 Ag 0.500 0.500 0.012
C1 C 0.000 0.000 0.518
```

Output
Energy of formation from the pure elements (eV per atom): -0.184
DFT total energy (eV per atom): -6.129

***

Material: AgSn3C
Method: DFT, PBE-GGA
State: relaxed

Cell and atoms, written as CIF:
```
data_AgSn3C
_chemical_formula_sum 'Ag1 Sn3 C1'
_space_group_name_H-M_alt 'P m -3 m'
_space_group_IT_number 221
_space_group_name_Hall '-P 4 2 3'
_cell_length_a 5.322
_cell_length_b 5.322
_cell_length_c 5.322
_cell_angle_alpha 90.00
_cell_angle_beta 90.00
_cell_angle_gamma 90.00
loop_
_atom_site_label
_atom_site_type_symbol
_atom_site_fract_x
_atom_site_fract_y
_atom_site_fract_z
Ag1 Ag 0.000 0.000 0.000
Sn1 Sn 0.000 0.000 0.500
C1 C 0.500 0.500 0.500
```

Output
Energy of formation from the pure elements (eV per atom): 1.707
DFT total energy (eV per atom): -3.110
Polymorph energy (0 for the lowest one) (meV/atom): 870

***

Material: AgSnC3
Method: DFT, PBE-GGA
State: relaxed

Cell and atoms, written as CIF:
```
data_AgSnC3
_chemical_formula_sum 'Ag1 Sn1 C3'
_space_group_name_H-M_alt 'P m -3 m'
_space_group_IT_number 221
_space_group_name_Hall '-P 4 2 3'
_cell_length_a 4.227
_cell_length_b 4.227
_cell_length_c 4.227
_cell_angle_alpha 90.00
_cell_angle_beta 90.00
_cell_angle_gamma 90.00
loop_
_atom_site_label
_atom_site_type_symbol
_atom_site_fract_x
_atom_site_fract_y
_atom_site_fract_z
Ag1 Ag 0.000 0.000 0.000
Sn1 Sn 0.500 0.500 0.500
C1 C 0.000 0.000 0.500
```

Output
Energy of formation from the pure elements (eV per atom): 3.000
DFT total energy (eV per atom): -3.905
Polymorph energy (0 for the lowest one) (meV/atom): 29

***

Material: AgSnC3
Method: DFT, PBE-GGA
State: relaxed

Cell and atoms, written as CIF:
```
data_AgSnC3
_chemical_formula_sum 'Ag1 Sn1 C3'
_space_group_name_H-M_alt 'P m -3 m'
_space_group_IT_number 221
_space_group_name_Hall '-P 4 2 3'
_cell_length_a 4.328
_cell_length_b 4.328
_cell_length_c 4.328
_cell_angle_alpha 90.00
_cell_angle_beta 90.00
_cell_angle_gamma 90.00
loop_
_atom_site_label
_atom_site_type_symbol
_atom_site_fract_x
_atom_site_fract_y
_atom_site_fract_z
Ag1 Ag 0.000 0.000 0.000
Sn1 Sn 0.500 0.500 0.500
C1 C 0.000 0.500 0.500
```

Output
Energy of formation from the pure elements (eV per atom): 2.971
DFT total energy (eV per atom): -3.934
Polymorph energy (0 for the lowest one) (meV/atom): 0

***

Material: AgSn3C
Method: DFT, PBE-GGA
State: relaxed

Cell and atoms, written as CIF:
```
data_AgSn3C
_chemical_formula_sum 'Ag1 Sn3 C1'
_space_group_name_H-M_alt 'P m -3 m'
_space_group_IT_number 221
_space_group_name_Hall '-P 4 2 3'
_cell_length_a 4.769
_cell_length_b 4.769
_cell_length_c 4.769
_cell_angle_alpha 90.00
_cell_angle_beta 90.00
_cell_angle_gamma 90.00
loop_
_atom_site_label
_atom_site_type_symbol
_atom_site_fract_x
_atom_site_fract_y
_atom_site_fract_z
Ag1 Ag 0.000 0.000 0.000
Sn1 Sn 0.000 0.500 0.500
C1 C 0.500 0.500 0.500
```

Output
Energy of formation from the pure elements (eV per atom): 0.837
DFT total energy (eV per atom): -3.980
Polymorph energy (0 for the lowest one) (meV/atom): 0

***

Material: SrAg2C
Method: DFT, PBE-GGA
State: relaxed

Cell and atoms, written as CIF:
```
data_SrAg2C
_chemical_formula_sum 'Sr4 Ag8 C4'
_space_group_name_H-M_alt 'I -4 2 d'
_space_group_IT_number 122
_space_group_name_Hall 'I -4 2bw'
_cell_length_a 5.378
_cell_length_b 5.378
_cell_length_c 13.215
_cell_angle_alpha 90.00
_cell_angle_beta 90.00
_cell_angle_gamma 90.00
loop_
_atom_site_label
_atom_site_type_symbol
_atom_site_fract_x
_atom_site_fract_y
_atom_site_fract_z
Sr1 Sr 0.000 0.000 0.000
Ag1 Ag 0.019 0.250 0.625
C1 C 0.000 0.000 0.500
```

Output
Energy of formation from the pure elements (eV per atom): 0.656
DFT total energy (eV per atom): -3.496

***

Which formula does entry 3 have? AgSnC3

***

Please write out number 6 again, unchanged.
Material: SrAg2C
Method: DFT, PBE-GGA
State: relaxed

Cell and atoms, written as CIF:
```
data_SrAg2C
_chemical_formula_sum 'Sr4 Ag8 C4'
_space_group_name_H-M_alt 'I -4 2 d'
_space_group_IT_number 122
_space_group_name_Hall 'I -4 2bw'
_cell_length_a 5.378
_cell_length_b 5.378
_cell_length_c 13.215
_cell_angle_alpha 90.00
_cell_angle_beta 90.00
_cell_angle_gamma 90.00
loop_
_atom_site_label
_atom_site_type_symbol
_atom_site_fract_x
_atom_site_fract_y
_atom_site_fract_z
Sr1 Sr 0.000 0.000 0.000
Ag1 Ag 0.019 0.250 0.625
C1 C 0.000 0.000 0.500
```

Output
Energy of formation from the pure elements (eV per atom): 0.656
DFT total energy (eV per atom): -3.496